1.
# PBE ZnHg2Sb2, relaxed
# Energy above the most stable polymorph in this dataset (meV/atom): 96.0
data_ZnHg2Sb2
_chemical_formula_sum 'Zn2 Hg4 Sb4'
_space_group_name_H-M_alt 'I 4/m m m'
_space_group_IT_number 139
_space_group_name_Hall '-I 4 2'
_cell_length_a 4.321
_cell_length_b 4.321
_cell_length_c 15.458
_cell_angle_alpha 90.00
_cell_angle_beta 90.00
_cell_angle_gamma 90.00
loop_
_atom_site_label
_atom_site_type_symbol
_atom_site_fract_x
_atom_site_fract_y
_atom_site_fract_z
Zn1 Zn 0.000 0.000 0.000
Hg1 Hg 0.000 0.000 0.408
Sb1 Sb 0.000 0.500 0.250

=====

2.
# PBE Rb2AsH2, relaxed
# Total DFT energy (no corrections) (eV/atom): -2.61
data_Rb2AsH2
_chemical_formula_sum 'Rb4 As2 H4'
_space_group_name_H-M_alt 'I 4/m m m'
_space_group_IT_number 139
_space_group_name_Hall '-I 4 2'
_cell_length_a 5.794
_cell_length_b 5.794
_cell_length_c 8.756
_cell_angle_alpha 90.00
_cell_angle_beta 90.00
_cell_angle_gamma 90.00
loop_
_atom_site_label
_atom_site_type_symbol
_atom_site_fract_x
_atom_site_fract_y
_atom_site_fract_z
Rb1 Rb 0.000 0.500 0.250
As1 As 0.000 0.000 0.000
H1 H 0.000 0.000 0.218

=====

3.
# PBE LiGa2TeF, relaxed
# Total DFT energy (no corrections) (eV/atom): -3.49
data_LiGa2TeF
_chemical_formula_sum 'Li1 Ga2 Te1 F1'
_space_group_name_H-M_alt 'P 4/m m m'
_space_group_IT_number 123
_space_group_name_Hall '-P 4 2'
_cell_length_a 5.069
_cell_length_b 5.069
_cell_length_c 4.125
_cell_angle_alpha 90.00
_cell_angle_beta 90.00
_cell_angle_gamma 90.00
loop_
_atom_site_label
_atom_site_type_symbol
_atom_site_fract_x
_atom_site_fract_y
_atom_site_fract_z
Li1 Li 0.000 0.000 0.000
Ga1 Ga 0.000 0.500 0.500
Te1 Te 0.500 0.500 0.000
F1 F 0.000 0.000 0.500

=====

| no. | calculated volume (Å³/cell) |
| --- | --- |
| 1 | 289 |
| 2 | 294 |
| 3 | 106 |